The following is a DFT calculation (GGA-PBE) of crystalline Cs2LiNbF6 at its relaxed geometry.

- Size of the total moment: 2.00 μB per cell
- Symmetry: I4/mmm (139)
- Uncorrected formation energy: -2752 meV per atom
- D(E_F): 16.94 states/eV per cell

Cell lengths 6.2155, 6.2155, 6.2385 Å; angles 60.12, 60.12, 90.00 degrees
With the nearest neighbours (Å) after each atom.
Fractional coordinates of all 10 atoms:
Nb (0.0000, 0.0000, 0.0000)  6 F 2.13-2.14
Cs (0.7500, 0.2500, 0.5000)  12 F 3.11-3.12
Cs (0.2500, 0.7500, 0.5000)  12 F 3.11-3.12
Li (0.5000, 0.5000, 0.0000)  6 F 2.26-2.29
F (0.7570, 0.2430, 0.0000)  1 Nb 2.14, 1 Li 2.26
F (0.2430, 0.2430, 0.0000)  1 Nb 2.14, 1 Li 2.26
F (0.7592, 0.7592, 0.4817)  1 Nb 2.13, 1 Li 2.29
F (0.2408, 0.2408, 0.5183)  1 Nb 2.13, 1 Li 2.29
F (0.2430, 0.7570, 0.0000)  1 Nb 2.14, 1 Li 2.26
F (0.7570, 0.7570, 0.0000)  1 Nb 2.14, 1 Li 2.26